Below is a geometry-optimized Be2AlB structure, with properties calculated at the PBE-GGA level.

The structure in CIF format:
```
data_Be2AlB
_cell_length_a 7.0271
_cell_length_b 3.3686
_cell_length_c 6.8990
_cell_angle_alpha 90.00
_cell_angle_beta 107.27
_cell_angle_gamma 90.00
_space_group_name_H-M_alt 'C 1 2/m 1'
_space_group_IT_number 12
loop_
_space_group_symop_operation_xyz
'x,y,z'
'-x,-y,-z'
'-x,y,-z'
'x,-y,z'
'x+1/2,y+1/2,z'
'-x+1/2,-y+1/2,-z'
'-x+1/2,y+1/2,-z'
'x+1/2,-y+1/2,z'
loop_
_atom_site_label
_atom_site_type_symbol
_atom_site_fract_x
_atom_site_fract_y
_atom_site_fract_z
Be1 Be 0.0129 0.0000 0.3421
Be2 Be 0.1552 0.5000 0.5247
Al1 Al 0.1897 0.5000 0.1311
B1 B 0.0875 0.5000 0.7865
```

For the total DFT energy (no corrections), the calculation gives -4.41 eV per atom. The formation energy from the elements is 0.057 eV/atom. The calculation puts the energy relative to the lowest polymorph listed for this composition at 36 meV/atom. The calculation puts the density of states at the Fermi level at 0.115 states/eV per atom.